CsRe3Ni (PBE, optimized geometry); polymorph energy (0 for the lowest one) = 0 meV per atom; total energy = -6.3576 eV/atom; space-group type = Pm-3m
1.0
4.715 0.000 0.000
0.000 4.715 0.000
0.000 0.000 4.715
Re Ni Cs
3 1 1
direct
0.500 0.000 0.000
0.000 0.000 0.500
0.000 0.500 0.000
0.000 0.000 0.000
0.500 0.500 0.500


TmTh2In9 (PBE, optimized geometry); total energy = -4.0164 eV/atom; space-group type = P4/mmm
1.0
4.706 0.000 0.000
0.000 4.706 0.000
0.000 0.000 14.053
In Tm Th
9 1 2
direct
0.500 0.000 0.840
0.000 0.500 0.840
0.500 0.000 0.500
0.500 0.500 0.331
0.500 0.500 0.669
0.500 0.500 0.000
0.000 0.500 0.500
0.000 0.500 0.160
0.500 0.000 0.160
0.000 0.000 0.000
0.000 0.000 0.670
0.000 0.000 0.330


GdPaAlHg (PBE, optimized geometry); total energy = -6.9533 eV/atom; space-group type = F-43m
1.0
5.222 0.000 0.000
2.611 4.522 0.000
2.611 1.507 4.263
Hg Pa Al Gd
1 1 1 1
direct
0.000 0.000 0.000
0.750 0.750 0.750
0.500 0.500 0.500
0.250 0.250 0.250